1.
Density functional theory data (GGA-PBE) for a relaxed structure of CaAc5LaNd2.

Results
uncorrected energy: -34.66 eV per formula unit
formation enthalpy at 0 K: 0.2608 eV per atom
calculated density: 6.858 g/cm3

a b c (Å): 9.9938 9.9938 10.5026
angles (deg): 118.41 118.41 90.00
Atoms (fractional coordinates):
Ca  0.2500  0.7500  0.5000
Ca  0.7500  0.2500  0.5000
Ac  0.9242  0.4242  0.2584
Ac  0.6658  0.1658  0.7416
Ac  0.0758  0.5758  0.7416
Ac  0.1658  0.0758  0.7416
Ac  0.5758  0.6658  0.7416
Ac  0.8342  0.9242  0.2584
Ac  0.4242  0.3342  0.2584
Ac  0.3342  0.8342  0.2584
Ac  0.5000  0.5000  0.0000
Ac  0.0000  0.0000  0.0000
La  0.2500  0.2500  0.5000
La  0.7500  0.7500  0.5000
Nd  0.1055  0.3945  0.0000
Nd  0.6055  0.1055  0.0000
Nd  0.3945  0.8945  0.0000
Nd  0.8945  0.6055  0.0000

=====

2.
Density functional theory data (GGA-PBE) for a relaxed structure of NpSb2Pd.

Results
uncorrected energy: -27.57 eV per formula unit
calculated density: 10.821 g/cm3

a b c (Å): 4.0222 4.7322 4.7322
angles (deg): 90.00 90.00 90.00
Atoms (fractional coordinates):
Np  0.5000  0.5000  0.5000
Sb  0.0000  0.0000  0.5000
Sb  0.0000  0.5000  0.0000
Pd  0.5000  0.0000  0.0000

=====

3.
Density functional theory data (GGA-PBE) for a relaxed structure of K2TiSnSe4.

Results
uncorrected energy: -36.08 eV per formula unit
calculated density: 3.304 g/cm3

a b c (Å): 7.2046 7.9009 11.6907
angles (deg): 81.92 72.05 62.88
Atoms (fractional coordinates):
K  0.1843  0.0000  0.6314
K  0.8157  0.0000  0.3686
K  0.5657  0.5000  0.8686
K  0.9343  0.5000  0.1314
Ti  0.7500  0.5000  0.5000
Ti  0.0000  0.0000  0.0000
Sn  0.2500  0.5000  0.5000
Sn  0.5000  0.0000  0.0000
Se  0.2433  0.8030  0.1173
Se  0.1637  0.1970  0.8827
Se  0.9537  0.8030  0.8827
Se  0.6393  0.1970  0.1173
Se  0.5067  0.6970  0.3827
Se  0.5863  0.3030  0.6173
Se  0.7963  0.6970  0.6173
Se  0.1107  0.3030  0.3827

=====

4.
Density functional theory data (GGA-PBE) for a relaxed structure of KCS2N.

Results
uncorrected energy: -25.03 eV per formula unit
calculated density: 2.338 g/cm3
excess energy over the best structure of this formula in the dataset: 0.0 meV per atom

a b c (Å): 6.0938 6.0938 2.4723
angles (deg): 90.00 90.00 90.00
Atoms (fractional coordinates):
C  0.0000  0.0000  0.0000
K  0.5000  0.5000  0.5000
S  0.0000  0.5000  0.0000
S  0.5000  0.0000  0.0000
N  0.0000  0.0000  0.5000

=====

5.
Density functional theory data (GGA-PBE) for a relaxed structure of FePd6Pt2.

Results
uncorrected energy: -51.42 eV per formula unit
formation enthalpy at 0 K: 0.0314 eV per atom
calculated density: 12.811 g/cm3
excess energy over the best structure of this formula in the dataset: 45.4 meV per atom

a b c (Å): 2.7291 6.8477 7.8114
angles (deg): 79.54 90.00 101.49
Atoms (fractional coordinates):
Fe  0.0000  0.0000  0.5000
Pd  0.3406  0.6813  0.0305
Pd  0.6594  0.3187  0.9695
Pd  0.9877  0.9754  0.1763
Pd  0.6579  0.3157  0.5887
Pd  0.0123  0.0246  0.8237
Pd  0.3421  0.6843  0.4113
Pt  0.8327  0.6655  0.7222
Pt  0.1673  0.3345  0.2778

=====

6.
Density functional theory data (GGA-PBE) for a relaxed structure of ThNiTe.

Results
uncorrected energy: -18.43 eV per formula unit
calculated density: 7.944 g/cm3
excess energy over the best structure of this formula in the dataset: 120.4 meV per atom

a b c (Å): 4.3659 4.3659 11.1668
angles (deg): 91.72 98.49 123.05
Atoms (fractional coordinates):
Th  0.8805  0.4578  0.3384
Th  0.1195  0.5422  0.6616
Ni  0.3427  0.1611  0.5038
Ni  0.6573  0.8389  0.4962
Te  0.5476  0.2897  0.8373
Te  0.4524  0.7103  0.1627

=====

7.
Density functional theory data (GGA-PBE) for a relaxed structure of Mn2SiAs.

Results
uncorrected energy: -28.34 eV per formula unit
calculated density: 6.577 g/cm3

a b c (Å): 3.3842 2.7742 5.9686
angles (deg): 73.57 90.00 90.00
Atoms (fractional coordinates):
As  0.5000  0.7500  0.7500
Mn  0.0000  0.9878  0.0223
Mn  0.0000  0.5122  0.4777
Si  0.5000  0.2500  0.2500

=====

8.
Density functional theory data (GGA-PBE) for a relaxed structure of MgTlRh.

Results
uncorrected energy: -11.83 eV per formula unit
formation enthalpy at 0 K: -0.1729 eV per atom
calculated density: 9.958 g/cm3

a b c (Å): 5.3250 5.3250 5.3250
angles (deg): 144.57 140.52 54.08
Atoms (fractional coordinates):
Mg  0.9803  0.9803  0.0000
Rh  0.3476  0.3476  0.0000
Tl  0.6721  0.6721  0.0000

=====

9.
Density functional theory data (GGA-PBE) for a relaxed structure of Hf2BiBrN.

Results
uncorrected energy: -22.21 eV per formula unit
calculated density: 6.603 g/cm3

a b c (Å): 5.5002 5.4855 5.5002
angles (deg): 90.00 90.00 90.00
Atoms (fractional coordinates):
Hf  0.0000  0.0000  0.5000
Hf  0.5000  0.0000  0.0000
Bi  0.0000  0.0000  0.0000
Br  0.0000  0.5000  0.0000
N  0.5000  0.5000  0.5000

=====

10.
Density functional theory data (GGA-PBE) for a relaxed structure of CePmHoTm2.

Results
uncorrected energy: -22.72 eV per formula unit
formation enthalpy at 0 K: 0.2979 eV per atom
calculated density: 8.142 g/cm3

a b c (Å): 7.2528 7.6787 5.7710
angles (deg): 90.00 90.00 90.00
Atoms (fractional coordinates):
Ce  0.0000  0.0000  0.0000
Ce  0.0000  0.0000  0.5000
Pm  0.1617  0.5000  0.7500
Pm  0.8383  0.5000  0.2500
Ho  0.6164  0.0000  0.2500
Ho  0.3836  0.0000  0.7500
Tm  0.6751  0.7091  0.7500
Tm  0.6751  0.2909  0.7500
Tm  0.3249  0.7091  0.2500
Tm  0.3249  0.2909  0.2500

=====

11.
Density functional theory data (GGA-PBE) for a relaxed structure of TcSnH2W.

Results
uncorrected energy: -32.34 eV per formula unit
calculated density: 9.468 g/cm3
excess energy over the best structure of this formula in the dataset: 330.0 meV per atom

a b c (Å): 2.9387 4.4624 5.7227
angles (deg): 94.36 89.96 109.28
Atoms (fractional coordinates):
Tc  0.8928  0.3308  0.2029
Sn  0.8939  0.3340  0.7190
H  0.5357  0.6172  0.2586
H  0.2563  0.0580  0.1063
W  0.1725  0.8912  0.3994

=====

12.
Density functional theory data (GGA-PBE) for a relaxed structure of AcMg2ZnCd2.

Results
uncorrected energy: -9.80 eV per formula unit
formation enthalpy at 0 K: 0.1011 eV per atom
calculated density: 5.409 g/cm3

a b c (Å): 5.3676 5.3676 7.1246
angles (deg): 112.13 112.13 90.00
Atoms (fractional coordinates):
Ac  0.5000  0.5000  0.0000
Mg  0.2500  0.7500  0.5000
Mg  0.7500  0.2500  0.5000
Zn  0.0000  0.0000  0.0000
Cd  0.7915  0.7915  0.5830
Cd  0.2085  0.2085  0.4170

=====

13.
Density functional theory data (GGA-PBE) for a relaxed structure of RbSb2PbAu4.

Results
uncorrected energy: -27.17 eV per formula unit
calculated density: 9.473 g/cm3

a b c (Å): 4.9071 4.9071 9.6393
angles (deg): 90.00 90.00 90.00
Atoms (fractional coordinates):
Rb  0.0000  0.0000  0.5000
Sb  0.5000  0.5000  0.3010
Sb  0.5000  0.5000  0.6990
Pb  0.0000  0.0000  0.0000
Au  0.0000  0.5000  0.1815
Au  0.5000  0.0000  0.8185
Au  0.5000  0.0000  0.1815
Au  0.0000  0.5000  0.8185

=====

14.
Density functional theory data (GGA-PBE) for a relaxed structure of Nd2MgZn4Cu3.

Results
uncorrected energy: -30.84 eV per formula unit
formation enthalpy at 0 K: -0.2330 eV per atom
calculated density: 6.711 g/cm3

a b c (Å): 4.0585 4.0585 11.4932
angles (deg): 90.00 90.00 90.00
Atoms (fractional coordinates):
Nd  0.5000  0.0000  0.2352
Nd  0.0000  0.5000  0.7648
Mg  0.5000  0.5000  0.5000
Zn  0.5000  0.5000  0.0000
Zn  0.0000  0.0000  0.0000
Zn  0.5000  0.0000  0.6492
Zn  0.0000  0.5000  0.3508
Cu  0.0000  0.0000  0.5000
Cu  0.5000  0.0000  0.8663
Cu  0.0000  0.5000  0.1337

=====

15.
Density functional theory data (GGA-PBE) for a relaxed structure of ThCoAsN.

Results
uncorrected energy: -32.07 eV per formula unit
calculated density: 9.173 g/cm3

a b c (Å): 4.0646 4.0646 8.3256
angles (deg): 90.00 90.00 90.00
Atoms (fractional coordinates):
Th  0.5000  0.0000  0.6397
Th  0.0000  0.5000  0.3603
Co  0.5000  0.5000  0.0000
Co  0.0000  0.0000  0.0000
As  0.0000  0.5000  0.8595
As  0.5000  0.0000  0.1405
N  0.0000  0.0000  0.5000
N  0.5000  0.5000  0.5000

=====

16.
Density functional theory data (GGA-PBE) for a relaxed structure of PrHo2Ge.

Results
uncorrected energy: -19.55 eV per formula unit
formation enthalpy at 0 K: -0.2484 eV per atom
calculated density: 7.562 g/cm3
excess energy over the best structure of this formula in the dataset: 74.6 meV per atom

a b c (Å): 3.7294 3.7294 10.1381
angles (deg): 79.40 79.40 60.00
Atoms (fractional coordinates):
Pr  0.5000  0.5000  0.5000
Ge  0.0000  0.0000  0.0000
Ho  0.2689  0.2689  0.1934
Ho  0.7311  0.7311  0.8066

=====

17.
Density functional theory data (GGA-PBE) for a relaxed structure of Ac2Cu6SiRh.

Results
uncorrected energy: -47.54 eV per formula unit
calculated density: 8.412 g/cm3

a b c (Å): 6.0832 6.9184 6.2003
angles (deg): 61.71 60.60 90.01
Atoms (fractional coordinates):
Ac  0.7870  0.3595  0.4257
Ac  0.2130  0.6405  0.5743
Cu  0.2465  0.1393  0.5069
Cu  0.7532  0.8487  0.9041
Cu  0.3422  0.8482  0.9050
Cu  0.6578  0.1518  0.0950
Cu  0.2468  0.1513  0.0959
Cu  0.7535  0.8607  0.4931
Si  0.0000  0.0000  0.0000
Rh  0.5000  0.5000  0.0000

=====

18.
Density functional theory data (GGA-PBE) for a relaxed structure of HoLuTlIr.

Results
uncorrected energy: -22.39 eV per formula unit
formation enthalpy at 0 K: -0.5153 eV per atom
calculated density: 13.547 g/cm3

a b c (Å): 5.0353 5.0353 5.0353
angles (deg): 60.00 60.00 60.00
Atoms (fractional coordinates):
Tl  0.7500  0.7500  0.7500
Ir  0.2500  0.2500  0.2500
Lu  0.0000  0.0000  0.0000
Ho  0.5000  0.5000  0.5000

=====

19.
Density functional theory data (GGA-PBE) for a relaxed structure of TiSn3Rh.

Results
uncorrected energy: -23.53 eV per formula unit
formation enthalpy at 0 K: 0.7442 eV per atom
calculated density: 6.072 g/cm3
excess energy over the best structure of this formula in the dataset: 273.2 meV per atom

a b c (Å): 5.1755 5.1755 5.1755
angles (deg): 90.00 90.00 90.00
Atoms (fractional coordinates):
Rh  0.5000  0.5000  0.5000
Sn  0.0000  0.5000  0.0000
Sn  0.0000  0.0000  0.5000
Sn  0.5000  0.0000  0.0000
Ti  0.0000  0.0000  0.0000

=====

20.
Density functional theory data (GGA-PBE) for a relaxed structure of Na2In2Ge.

Results
uncorrected energy: -13.21 eV per formula unit
formation enthalpy at 0 K: -0.0962 eV per atom
calculated density: 4.324 g/cm3
excess energy over the best structure of this formula in the dataset: 0.0 meV per atom

a b c (Å): 4.5304 6.8721 9.8108
angles (deg): 110.64 90.00 109.25
Atoms (fractional coordinates):
Na  0.6564  0.3129  0.0063
Na  0.3559  0.7118  0.5931
Na  0.3436  0.6871  0.9937
Na  0.6441  0.2882  0.4069
In  0.9541  0.9082  0.8399
In  0.9031  0.8063  0.3442
In  0.0459  0.0918  0.1601
In  0.0969  0.1937  0.6558
Ge  0.2741  0.5481  0.2623
Ge  0.7259  0.4519  0.7377